[1]
Below is an optimized crystal structure of LuGaHgPd, with properties calculated at the PBE level.

## Properties
- SG: F-43m, No. 216
- Formation energy: -510 meV per atom

```
data_LuGaHgPd
_cell_length_a 4.7896
_cell_length_b 4.7896
_cell_length_c 4.7896
_cell_angle_alpha 60.00
_cell_angle_beta 60.00
_cell_angle_gamma 60.00
_space_group_name_H-M_alt 'P 1'
_space_group_IT_number 1
loop_
_space_group_symop_operation_xyz
'x,y,z'
loop_
_atom_site_label
_atom_site_type_symbol
_atom_site_fract_x
_atom_site_fract_y
_atom_site_fract_z
Ga1 Ga 0.2500 0.2500 0.2500
Lu1 Lu 0.7500 0.7500 0.7500
Hg1 Hg 0.0000 0.0000 0.0000
Pd1 Pd 0.5000 0.5000 0.5000
```

***

[2]
Below is an optimized crystal structure of RbDyCuI6, with properties calculated at the PBE level.

## Properties
- SG: C2, No. 5
- ΔE_f (raw): -943.2 meV/atom

```
data_RbDyCuI6
_cell_length_a 8.6722
_cell_length_b 7.4228
_cell_length_c 8.1028
_cell_angle_alpha 83.16
_cell_angle_beta 78.21
_cell_angle_gamma 54.24
_space_group_name_H-M_alt 'P 1'
_space_group_IT_number 1
loop_
_space_group_symop_operation_xyz
'x,y,z'
loop_
_atom_site_label
_atom_site_type_symbol
_atom_site_fract_x
_atom_site_fract_y
_atom_site_fract_z
Rb1 Rb 0.0571 0.8856 0.9999
Dy1 Dy 0.6825 0.6348 0.5001
Cu1 Cu 0.3260 0.3480 0.4998
I1 I 0.9904 0.3713 0.2181
I2 I 0.3819 0.0433 0.7307
I3 I 0.6376 0.3723 0.7825
I4 I 0.9733 0.6514 0.6512
I5 I 0.3759 0.6507 0.3484
I6 I 0.5749 0.0427 0.2692
```

***

[3]
Below is an optimized crystal structure of Cu2BiBN, with properties calculated at the PBE level.

## Properties
- SG: P4/mmm, No. 123
- ΔE_f (raw): 2224.1 meV/atom

```
data_Cu2BiBN
_cell_length_a 5.0028
_cell_length_b 5.0028
_cell_length_c 4.4174
_cell_angle_alpha 90.00
_cell_angle_beta 90.00
_cell_angle_gamma 90.00
_space_group_name_H-M_alt 'P 1'
_space_group_IT_number 1
loop_
_space_group_symop_operation_xyz
'x,y,z'
loop_
_atom_site_label
_atom_site_type_symbol
_atom_site_fract_x
_atom_site_fract_y
_atom_site_fract_z
B1 B 0.5000 0.5000 0.5000
Bi1 Bi 0.0000 0.0000 0.0000
Cu1 Cu 0.0000 0.5000 0.0000
Cu2 Cu 0.5000 0.0000 0.0000
N1 N 0.0000 0.0000 0.5000
```

***

Number 1: DOS(E_F) 0.485 states/eV per atom, VASP energy -15.1 eV per formula unit. Number 2: DOS(E_F) 0.351 states/eV per atom, VASP energy -27.5 eV per formula unit. Number 3: DOS(E_F) 0.821 states/eV per atom, VASP energy -16.0 eV per formula unit.